Entry 1:
LiPmAl GGA-PBE optimized geometry; theoretical density = 4.235 g/cm³; SG = P-3m1, No. 164; energy of formation = -0.011 eV per atom
1.0
4.324 0.000 0.049
2.162 3.745 0.035
-0.099 -0.025 8.662
Li Pm Al
2 2 2
direct
0.000 0.500 0.865
0.000 0.500 0.135
0.667 0.167 0.339
0.333 0.833 0.661
0.667 0.167 0.938
0.333 0.833 0.062



Entry 2:
LiPm3Al GGA-PBE optimized geometry; theoretical density = 5.072 g/cm³; SG = Pmmn, No. 59; energy of formation = 0.071 eV per atom
1.0
-3.049 2.951 -2.191
-0.830 -4.605 -5.047
-7.102 -3.856 4.688
Li Pm Al
2 6 2
direct
0.750 0.750 0.425
0.250 0.250 0.575
0.750 0.750 0.064
0.250 0.250 0.936
0.750 0.992 0.726
0.750 0.508 0.726
0.250 0.008 0.274
0.250 0.492 0.274
0.750 0.250 0.136
0.250 0.750 0.864



Entry 3:
LiPm8Al2 GGA-PBE optimized geometry; theoretical density = 6.159 g/cm³; SG = C2/m, No. 12; energy of formation = -0.084 eV per atom
1.0
5.201 0.000 0.000
0.000 7.084 0.463
-2.600 -2.451 8.776
Li Pm Al
1 8 2
direct
0.500 0.000 0.000
0.403 0.533 0.806
0.661 0.952 0.322
0.806 0.716 0.612
0.974 0.246 0.948
0.194 0.284 0.388
0.339 0.048 0.678
0.597 0.467 0.194
0.026 0.754 0.052
0.804 0.273 0.607
0.196 0.727 0.393



Entry 4:
LiPm2Al GGA-PBE optimized geometry; theoretical density = 5.163 g/cm³; SG = P4/mmm, No. 123; energy of formation = -0.172 eV per atom
1.0
-1.367 -0.247 -3.540
4.766 -1.273 -1.751
-1.071 -5.066 0.768
Li Al Pm
1 1 2
direct
0.500 0.500 0.500
0.500 0.000 0.000
0.000 0.000 0.500
0.000 0.500 0.000



Entry 5:
Li2Pm3Al GGA-PBE optimized geometry; theoretical density = 4.992 g/cm³; SG = P-3m1, No. 164; energy of formation = -0.082 eV per atom
1.0
5.301 0.000 0.000
-2.650 4.591 0.000
0.000 0.000 13.009
Li Pm Al
4 6 2
direct
0.000 0.000 0.500
0.333 0.667 0.171
0.667 0.333 0.829
0.000 0.000 0.000
0.333 0.667 0.418
0.667 0.333 0.087
0.000 0.000 0.745
0.000 0.000 0.255
0.333 0.667 0.913
0.667 0.333 0.582
0.333 0.667 0.667
0.667 0.333 0.333



Entry 6:
LiPm3Al8 GGA-PBE optimized geometry; theoretical density = 4.388 g/cm³; SG = R3m, No. 160; energy of formation = -0.398 eV per atom
1.0
-5.205 -1.507 -1.419
-1.224 -1.153 -5.343
0.019 -9.677 -0.852
Li Pm Al
1 3 8
direct
0.874 0.874 0.378
0.375 0.375 0.876
0.995 0.995 0.015
0.503 0.503 0.490
0.939 0.437 0.186
0.437 0.938 0.686
0.437 0.437 0.186
0.938 0.938 0.686
0.188 0.188 0.437
0.688 0.688 0.937
0.437 0.939 0.186
0.938 0.437 0.686



Entry 7:
LiPm3Al2 GGA-PBE optimized geometry; theoretical density = 5.266 g/cm³; SG = P4/mmm, No. 123; energy of formation = -0.238 eV per atom
1.0
-2.913 2.230 0.304
-0.701 -0.427 -3.589
-6.703 -9.083 2.389
Li Pm Al
1 3 2
direct
0.500 0.500 0.500
0.000 0.000 0.000
0.000 0.000 0.681
0.000 0.000 0.319
0.500 0.500 0.834
0.500 0.500 0.166



Entry 8:
LiPm3Al2 GGA-PBE optimized geometry; theoretical density = 5.324 g/cm³; SG = P-3m1, No. 164; energy of formation = -0.257 eV per atom
1.0
5.257 0.000 0.000
-2.628 4.552 0.000
0.000 0.000 12.926
Li Pm Al
2 6 4
direct
0.333 0.667 0.669
0.667 0.333 0.331
0.333 0.667 0.415
0.667 0.333 0.081
0.000 0.000 0.754
0.000 0.000 0.246
0.333 0.667 0.919
0.667 0.333 0.585
0.000 0.000 0.500
0.333 0.667 0.172
0.667 0.333 0.828
0.000 0.000 0.000



Entry 9:
Li2PmAl GGA-PBE optimized geometry; theoretical density = 3.878 g/cm³; SG = Fm-3m, No. 225; energy of formation = -0.183 eV per atom
1.0
4.828 0.000 0.000
2.414 4.181 0.000
2.414 1.394 3.942
Li Al Pm
2 1 1
direct
0.250 0.250 0.250
0.750 0.750 0.750
0.500 0.500 0.500
0.000 0.000 0.000



Entry 10:
LiPm2Al GGA-PBE optimized geometry; theoretical density = 5.183 g/cm³; SG = Fm-3m, No. 225; energy of formation = -0.196 eV per atom
1.0
5.275 0.000 0.000
2.637 4.568 0.000
2.637 1.523 4.307
Li Al Pm
1 1 2
direct
0.000 0.000 0.000
0.500 0.500 0.500
0.250 0.250 0.250
0.750 0.750 0.750



Entry 11:
LiPm5Al3 GGA-PBE optimized geometry; theoretical density = 5.479 g/cm³; SG = P6_3/mcm, No. 193; energy of formation = -0.210 eV per atom
1.0
-0.914 0.438 6.582
-9.152 0.164 -1.282
4.362 -8.068 1.143
Li Pm Al
2 10 6
direct
0.000 0.000 0.000
0.500 0.000 0.000
0.000 0.667 0.333
0.500 0.333 0.667
0.000 0.333 0.667
0.500 0.667 0.333
0.750 0.689 0.689
0.750 0.000 0.311
0.750 0.311 0.000
0.250 0.311 0.311
0.250 0.000 0.689
0.250 0.689 0.000
0.750 0.349 0.349
0.750 0.000 0.651
0.750 0.651 0.000
0.250 0.651 0.651
0.250 0.000 0.349
0.250 0.349 0.000



Entry 12:
Li2Pm3Al7 GGA-PBE optimized geometry; theoretical density = 4.389 g/cm³; SG = R-3m, No. 166; energy of formation = -0.414 eV per atom
1.0
-0.424 -4.854 2.815
2.641 -4.593 -1.897
7.842 -1.021 5.043
Li Pm Al
2 3 7
direct
0.665 0.665 0.006
0.335 0.335 0.994
0.000 0.000 0.000
0.860 0.860 0.421
0.140 0.140 0.579
0.500 0.500 0.500
0.924 0.415 0.245
0.415 0.924 0.245
0.415 0.415 0.245
0.076 0.585 0.755
0.585 0.585 0.755
0.585 0.076 0.755